Below is Cr3CdSi after structural relaxation, with properties calculated at the PBE level.

Cell lengths 4.476, 4.476, 4.476 Å; angles 90.00, 90.00, 90.00 degrees
Sites, in units of the cell vectors:
Cr 0.000 0.000 0.500
Cr 0.000 0.500 0.000
Cr 0.500 0.000 0.000
Cd 0.500 0.500 0.500
Si 0.000 0.000 0.000

Calculated values
E_form (uncorrected) = 0.79 eV/atom
Theoretical density = 5.5 Mg/m³
Total magnetic moment = 7.986 μB per cell
Crystal system = cubic
E = -6.248 eV per atom